# 1
First-principles (GGA-PBE) data for a relaxed structure of Er3GeI3, as listed in Alexandria.

## Properties
* crystal system: trigonal
* E_form (uncorrected): -7.6 eV/f.u.

Cell lengths 7.1234, 7.1234, 12.0601 Å; angles 72.82, 72.82, 60.00 degrees
With the nearest neighbours (Å) after each atom.
Fractional positions:
1 I 0.8959 0.5634 0.3124  3 Er 3.10-3.12
2 Er 0.6189 0.9550 0.1349  2 Ge 2.82, 3 I 3.10-3.12
3 Er 0.0450 0.7088 0.8651  2 Ge 2.82, 3 I 3.10-3.12
4 Er 0.9550 0.2912 0.1349  2 Ge 2.82, 3 I 3.10-3.12
5 Ge 0.6667 0.6667 0.0000  6 Er 2.82
6 I 0.4366 0.7716 0.6876  3 Er 3.10-3.12
7 Er 0.3811 0.0450 0.8651  2 Ge 2.82, 3 I 3.10-3.12
8 Er 0.7088 0.3811 0.8651  2 Ge 2.82, 3 I 3.10-3.12
9 I 0.1041 0.4366 0.6876  3 Er 3.10-3.12
10 Ge 0.3333 0.3333 0.0000  6 Er 2.82
11 I 0.7716 0.1041 0.6876  3 Er 3.10-3.12
12 I 0.5634 0.2284 0.3124  3 Er 3.10-3.12
13 Er 0.2912 0.6189 0.1349  2 Ge 2.82, 3 I 3.10-3.12
14 I 0.2284 0.8959 0.3124  3 Er 3.10-3.12



# 2
First-principles (GGA-PBE) data for a relaxed structure of Cs2TeI6O, as listed in Alexandria.

## Properties
* crystal system: tetragonal
* E_form (uncorrected): -5.8 eV/f.u.

Cell lengths 7.8804, 7.8804, 8.5749 Å; angles 62.64, 62.64, 90.00 degrees
With the nearest neighbours (Å) after each atom.
Fractional positions:
1 I 0.2750 0.7250 0.0000  1 O 2.51
2 I 0.7250 0.7250 0.0000  1 O 2.51
3 Cs 0.2500 0.7500 0.5000  12 I 3.95-4.30
4 Cs 0.7500 0.2500 0.5000  12 I 3.95-4.30
5 Te 0.0000 0.0000 0.0000  6 I 2.98-3.06
6 I 0.7250 0.2750 0.0000  1 O 2.51
7 I 0.2286 0.2286 0.5428  1 Te 2.98
8 I 0.2750 0.2750 0.0000  1 O 2.51
9 O 0.5000 0.5000 0.0000  4 I 2.51
10 I 0.7714 0.7714 0.4572  1 Te 2.98



# 3
First-principles (GGA-PBE) data for a relaxed structure of PrY3In4, as listed in Alexandria.

## Properties
* formation enthalpy at 0 K: -0.50 eV per atom
* crystal system: tetragonal

Cell lengths 5.3713, 7.5957, 10.7462 Å; angles 90.00, 90.00, 90.00 degrees
With the nearest neighbours (Å) after each atom.
Fractional positions:
1 Y 0.0000 0.0000 0.5000  8 In 3.26
2 In 0.0008 0.2426 0.2500  6 Y 3.26-3.32, 2 Pr 3.32
3 In 0.5000 0.7574 0.5000  6 Y 3.26-3.32, 2 Pr 3.32
4 Y 0.4993 0.0000 0.7500  8 In 3.26
5 In 0.5000 0.7574 0.0000  6 Y 3.26-3.32, 2 Pr 3.32
6 In 0.5000 0.2426 0.0000  6 Y 3.26-3.32, 2 Pr 3.32
7 Pr 0.0000 0.5000 0.5000  8 In 3.32
8 Pr 0.0000 0.5000 0.0000  8 In 3.32
9 Y 0.0000 0.0000 0.0000  8 In 3.26
10 In 0.0008 0.7574 0.2500  6 Y 3.26-3.32, 2 Pr 3.32
11 Y 0.5006 0.5000 0.2500  8 In 3.32
12 Y 0.5007 0.0000 0.2500  8 In 3.26
13 Y 0.4994 0.5000 0.7500  8 In 3.32
14 In 0.5000 0.2426 0.5000  6 Y 3.26-3.32, 2 Pr 3.32
15 In 0.9992 0.7574 0.7500  6 Y 3.26-3.32, 2 Pr 3.32
16 In 0.9992 0.2426 0.7500  6 Y 3.26-3.32, 2 Pr 3.32



# 4
First-principles (GGA-PBE) data for a relaxed structure of KRbTl2Cd, as listed in Alexandria.

## Properties
* formation enthalpy at 0 K: 0.08 eV per atom
* crystal system: tetragonal
* polymorph energy (0 for the lowest one): 105 meV/atom

Cell lengths 5.8598, 5.8598, 6.4960 Å; angles 90.00, 90.00, 90.00 degrees
With the nearest neighbours (Å) after each atom.
Fractional positions:
1 Rb 0.5000 0.5000 0.5000  4 K 4.14, 8 Tl 4.37
2 Cd 0.0000 0.0000 0.0000  4 Tl 2.93, 2 K 3.25
3 Tl 0.5000 0.0000 0.0000  2 Cd 2.93
4 K 0.0000 0.0000 0.5000  2 Cd 3.25
5 Tl 0.0000 0.5000 0.0000  2 Cd 2.93



Number 1: final energy -4.36 eV/atom. Number 2: final energy -2.49 eV/atom. Number 3: final energy -4.89 eV/atom. Number 4: final energy -1.46 eV/atom.